# 1
Density functional theory data (PBE+U) for a geometry-optimized Ac2MnHO6 structure.

Summary:
Space-group type: C2/m
DOS at the Fermi energy in states/eV/cell: 13.02

Unit cell a=6.0050 b=5.8329 c=6.8108 alpha=90.00 beta=92.58 gamma=90.00
Last column: nearest neighbours and their distance in Å.
Atoms (fractional coordinates):
H1 0.5000 0.0000 0.0000  2 O 1.34
H2 0.0000 0.5000 0.5000  2 O 1.34
O1 0.2787 0.7722 0.4797  1 Mn 1.88
O2 0.7787 0.7278 0.9797  1 Mn 1.88
O3 0.0394 0.5000 0.6946  1 H 1.34
O4 0.7213 0.2278 0.5203  1 Mn 1.88
O5 0.2788 0.2278 0.4797  1 Mn 1.88
O6 0.4606 0.0000 0.8054  1 H 1.34
O7 0.2212 0.7278 0.0203  1 Mn 1.88
O8 0.9606 0.5000 0.3054  1 H 1.34
O9 0.7212 0.7722 0.5203  1 Mn 1.88
O10 0.7788 0.2722 0.9797  1 Mn 1.88
O11 0.5394 0.0000 0.1946  1 H 1.34
O12 0.2213 0.2722 0.0203  1 Mn 1.88
Ac1 0.9835 0.0001 0.2503  11 O 2.66-2.95
Ac2 0.0165 0.9999 0.7497  11 O 2.66-2.95
Ac3 0.4835 0.4999 0.7503  11 O 2.66-2.95
Ac4 0.5165 0.5001 0.2497  11 O 2.66-2.95
Mn1 0.5000 0.0000 0.5000  6 O 1.88-2.10
Mn2 0.0000 0.5000 0.0000  6 O 1.88-2.10

***

# 2
Density functional theory data (PBE+U) for a geometry-optimized Ac2MnH2O6 structure.

Summary:
Space-group type: R-3m

Unit cell a=5.2791 b=5.2791 c=5.8128 alpha=62.99 beta=62.99 gamma=60.00
Last column: nearest neighbours and their distance in Å.
Atoms (fractional coordinates):
Ac1 0.7615 0.7615 0.7156  1 H 2.60, 9 O 2.65-2.85
Ac2 0.2385 0.2385 0.2844  1 H 2.60, 9 O 2.65-2.85
O1 0.2486 0.7365 0.7663  1 H 1.49
O2 0.7365 0.2486 0.7663  1 H 1.49
O3 0.7514 0.2635 0.2337  1 H 1.49
O4 0.2635 0.7514 0.2337  1 H 1.49
O5 0.2486 0.2486 0.7663  1 H 1.49
O6 0.7514 0.7514 0.2337  1 H 1.49
Mn1 0.0000 0.0000 0.0000  6 O 1.94
H1 0.5860 0.5860 0.2419  3 O 1.49
H2 0.4140 0.4140 0.7581  3 O 1.49

***

Q: Which raw total energy values were calculated for the entries above? A: -6.90, -6.74, in eV per atom.
Q: Which theoretical density values were calculated for the entries above? A: 8.44, 8.44, in g cm⁻³.